Entry from the Alexandria database: a relaxed structure of Zn2FeRhO (PBE+U).

## Properties
E_tot	-4.35	eV/atom

Cell: 4.2513 4.2513 3.8392 Å, 90.00 90.00 90.00°
Closest atoms and distances in Å follow each position.
Space group P4/mmm (No. 123)
Unique sites:
1 Zn 0.0000 0.5000 0.0000 [2 per cell]  2 O 2.13
2 Fe 0.0000 0.0000 0.5000 [1 per cell]  2 O 1.92
3 Rh 0.5000 0.5000 0.5000 [1 per cell]  8 Zn 2.86, 4 Fe 3.01
4 O 0.0000 0.0000 0.0000 [1 per cell]  2 Fe 1.92, 4 Zn 2.13